No. 1
VASP calculation (GGA-PBE) on a relaxed ZrSb2Mo crystal.

The structure in CIF format:
```
data_ZrSb2Mo
_cell_length_a 6.8852
_cell_length_b 6.8852
_cell_length_c 6.8852
_cell_angle_alpha 90.00
_cell_angle_beta 90.00
_cell_angle_gamma 90.00
_symmetry_space_group_name_H-M 'F m -3 m'
_symmetry_Int_Tables_number 225
_symmetry_space_group_name_Hall '-F 4 2 3'
loop_
_atom_site_label
_atom_site_type_symbol
_atom_site_fract_x
_atom_site_fract_y
_atom_site_fract_z
_atom_site_occupancy
Zr1 Zr 0.0000 0.0000 0.0000 1
Sb1 Sb 0.2500 0.2500 0.2500 1
Mo1 Mo 0.0000 0.0000 0.5000 1
```

Values from the calculation:
Raw formation energy in meV per atom: -116
Spin magnetization in μB/f.u.: 0.000
Theoretical density in g/cm3: 8.76
Excess energy over the best structure of this formula in the dataset in meV per atom: 99.5
Electronic total energy in eV per cell: -112.35



No. 2
VASP calculation (GGA-PBE) on a relaxed ZrSbMo crystal.

The structure in CIF format:
```
data_ZrSbMo
_cell_length_a 3.3895
_cell_length_b 3.3895
_cell_length_c 6.4082
_cell_angle_alpha 90.00
_cell_angle_beta 90.00
_cell_angle_gamma 120.00
_symmetry_space_group_name_H-M 'P 3 m 1'
_symmetry_Int_Tables_number 156
_symmetry_space_group_name_Hall 'P 3 -2"'
loop_
_atom_site_label
_atom_site_type_symbol
_atom_site_fract_x
_atom_site_fract_y
_atom_site_fract_z
_atom_site_occupancy
Zr1 Zr 0.0000 0.0000 0.0000 1
Sb1 Sb 0.3333 0.6667 0.6229 1
Mo1 Mo 0.6667 0.3333 0.3135 1
```

Values from the calculation:
Raw formation energy in meV per atom: 97
Spin magnetization in μB/f.u.: 0.000
Theoretical density in g/cm3: 8.05
Excess energy over the best structure of this formula in the dataset in meV per atom: 222.9
Electronic total energy in eV per cell: -23.21



No. 3
VASP calculation (GGA-PBE) on a relaxed ZrSbMo crystal.

The structure in CIF format:
```
data_ZrSbMo
_cell_length_a 9.1535
_cell_length_b 5.0611
_cell_length_c 5.1912
_cell_angle_alpha 90.00
_cell_angle_beta 90.82
_cell_angle_gamma 90.00
_symmetry_space_group_name_H-M 'C 1 2/m 1'
_symmetry_Int_Tables_number 12
_symmetry_space_group_name_Hall '-C 2y'
loop_
_atom_site_label
_atom_site_type_symbol
_atom_site_fract_x
_atom_site_fract_y
_atom_site_fract_z
_atom_site_occupancy
Zr1 Zr 0.0890 0.0000 0.2535 1
Sb1 Sb 0.2442 0.0000 0.7527 1
Mo1 Mo 0.0702 0.5000 0.7842 1
```

Values from the calculation:
Raw formation energy in meV per atom: -123
Spin magnetization in μB/f.u.: 0.000
Theoretical density in g/cm3: 8.53
Excess energy over the best structure of this formula in the dataset in meV per atom: 2.1
Electronic total energy in eV per cell: -95.49



No. 4
VASP calculation (GGA-PBE) on a relaxed ScMo2 crystal.

The structure in CIF format:
```
data_ScMo2
_cell_length_a 3.2230
_cell_length_b 3.2230
_cell_length_c 10.1994
_cell_angle_alpha 90.00
_cell_angle_beta 90.00
_cell_angle_gamma 90.00
_symmetry_space_group_name_H-M 'I 4/m m m'
_symmetry_Int_Tables_number 139
_symmetry_space_group_name_Hall '-I 4 2'
loop_
_atom_site_label
_atom_site_type_symbol
_atom_site_fract_x
_atom_site_fract_y
_atom_site_fract_z
_atom_site_occupancy
Sc1 Sc 0.0000 0.0000 0.0000 1
Mo1 Mo 0.0000 0.0000 0.3153 1
```

Values from the calculation:
Spin magnetization in μB/f.u.: 0.000
Theoretical density in g/cm3: 7.42
Electronic total energy in eV per cell: -55.95



Copy entry 3 word for word.
VASP calculation (GGA-PBE) on a relaxed ZrSbMo crystal.

The structure in CIF format:
```
data_ZrSbMo
_cell_length_a 9.1535
_cell_length_b 5.0611
_cell_length_c 5.1912
_cell_angle_alpha 90.00
_cell_angle_beta 90.82
_cell_angle_gamma 90.00
_symmetry_space_group_name_H-M 'C 1 2/m 1'
_symmetry_Int_Tables_number 12
_symmetry_space_group_name_Hall '-C 2y'
loop_
_atom_site_label
_atom_site_type_symbol
_atom_site_fract_x
_atom_site_fract_y
_atom_site_fract_z
_atom_site_occupancy
Zr1 Zr 0.0890 0.0000 0.2535 1
Sb1 Sb 0.2442 0.0000 0.7527 1
Mo1 Mo 0.0702 0.5000 0.7842 1
```

Values from the calculation:
Raw formation energy in meV per atom: -123
Spin magnetization in μB/f.u.: 0.000
Theoretical density in g/cm3: 8.53
Excess energy over the best structure of this formula in the dataset in meV per atom: 2.1
Electronic total energy in eV per cell: -95.49